DFT (PBE+U) results for a relaxed structure of K2NpCo2O6.

As for the crystal system: monoclinic. For the total magnetic moment, the calculation gives 6.00 μB per cell. For the uncorrected energy, the calculation gives -149.00 eV for the cell shown. For the density of states at the Fermi level, the calculation gives 1.0 states/eV/f.u.

It has space group C2/m (No. 12), with a = 5.7032 Å, b = 8.9970 Å, c = 6.7953 Å, α = 90.00°, β = 111.16° and γ = 90.00°. The asymmetric unit holds K at (0.0000, 0.1769, 0.0000), Np at (0.0000, 0.0000, 0.5000), Co at (0.0000, 0.3365, 0.5000), O at (0.2005, 0.1716, 0.6811) and O at (0.2229, 0.5000, 0.6592).